Below is an optimized crystal structure of Cd2AsRhS, with properties calculated at the PBE level.

Properties
Formation energy (no corrections): 0.1857 eV/atom
Total energy: -3.406 eV per atom

```
5
Lattice="-4.4066 -2.0766 1.9030 2.1496 -1.0814 3.7975 -1.2964 4.6322 2.0529" Properties=species:S:1:pos:R:3 pbc="T T T"
As 1.0748 -0.5407 1.8988
Rh 0.0000 0.0000 0.0000
S -1.7767 0.7371 3.8767
Cd -0.6482 2.3161 1.0265
Cd -2.2033 -1.0383 0.9515
```


Below is an optimized crystal structure of CdAs2RhSe, with properties calculated at the PBE level.

Properties
Excess energy over the best structure of this formula in the dataset: 0.0 meV/atom
Formation energy (no corrections): 0.2918 eV/atom
Total energy: -3.918 eV per atom

```
5
Lattice="-3.3846 -3.2442 0.1540 2.1555 -2.0774 3.6114 -2.8087 3.0943 3.4563" Properties=species:S:1:pos:R:3 pbc="T T T"
As 1.0778 -1.0387 1.8057
As -1.6923 -1.6221 0.0770
Rh 0.0000 0.0000 0.0000
Se -1.4044 1.5471 1.7282
Cd -2.0189 -1.1137 3.6109
```


Below is an optimized crystal structure of SrCd2AsRh2, with properties calculated at the PBE level.

Properties
Total energy: -4.174 eV per atom
Formation enthalpy at 0 K: -2.2 eV per formula unit

```
6
Lattice="4.7059 0.0000 0.0000 0.0000 4.7059 0.0000 0.0000 0.0000 6.1616" Properties=species:S:1:pos:R:3 pbc="T T T"
Sr 0.0000 0.0000 3.0808
Cd 2.3529 2.3529 4.5154
Cd 2.3529 2.3529 1.6462
As 0.0000 0.0000 0.0000
Rh 2.3529 0.0000 0.0000
Rh 0.0000 2.3529 0.0000
```


Below is an optimized crystal structure of Sr2CdAs3Rh4, with properties calculated at the PBE level.

Properties
Total energy: -5.423 eV per atom
Formation enthalpy at 0 K: -6.6 eV per formula unit

```
10
Lattice="4.2896 0.0000 0.0000 0.0000 4.2896 0.0000 0.0000 0.0000 10.6932" Properties=species:S:1:pos:R:3 pbc="T T T"
Sr 2.1448 0.0000 2.6706
Sr 0.0000 2.1448 8.0227
Cd 2.1448 2.1448 5.3466
As 0.0000 0.0000 5.3466
As 2.1448 0.0000 9.3301
As 0.0000 2.1448 1.3632
Rh 2.1448 2.1448 0.0000
Rh 0.0000 0.0000 0.0000
Rh 2.1448 0.0000 6.9198
Rh 0.0000 2.1448 3.7734
```


Below is an optimized crystal structure of TbCdAs2Rh5, with properties calculated at the PBE level.

Properties
Total energy: -6.197 eV per atom
Formation enthalpy at 0 K: -4.2 eV per formula unit

```
9
Lattice="-4.1879 -0.0386 -0.8014 0.7612 -1.5376 -3.9036 -0.5112 -8.0154 3.0576" Properties=species:S:1:pos:R:3 pbc="T T T"
Tb -0.2556 -4.0077 1.5288
Cd 0.0000 0.0000 0.0000
As -1.7874 -1.9489 -1.9097
As -2.1505 -7.6428 0.2623
Rh 0.2453 -2.8898 -1.1427
Rh -2.2292 -2.1403 0.4084
Rh 0.0047 -6.6632 0.2967
Rh -2.4699 -5.9137 1.8478
Rh -1.9689 -4.7958 -0.8237
```


Below is an optimized crystal structure of ThCdAs2Rh5, with properties calculated at the PBE level.

Properties
Total energy: -6.589 eV per atom
Formation enthalpy at 0 K: -4.9 eV per formula unit

```
9
Lattice="4.2685 0.0000 0.0000 0.0000 4.2685 0.0000 0.0000 0.0000 8.5387" Properties=species:S:1:pos:R:3 pbc="T T T"
Th 0.0000 0.0000 0.0000
Cd 0.0000 0.0000 4.2694
As 2.1343 2.1343 1.2949
As 2.1343 2.1343 7.2438
Rh 0.0000 2.1343 2.3787
Rh 2.1343 0.0000 2.3787
Rh 0.0000 2.1343 6.1600
Rh 2.1343 0.0000 6.1600
Rh 2.1343 2.1343 4.2694
```


Below is an optimized crystal structure of TlCd2AsRh, with properties calculated at the PBE level.

Properties
Total energy: -3.247 eV per atom
Formation enthalpy at 0 K: 0.0 eV per formula unit

```
5
Lattice="-1.6598 2.4414 -4.3826 -0.9656 -4.6854 -2.2444 -4.3056 0.0838 1.6774" Properties=species:S:1:pos:R:3 pbc="T T T"
Tl -3.4655 -1.0801 -2.4748
Rh 0.0000 0.0000 0.0000
As -2.1528 0.0419 0.8387
Cd -0.4828 -2.3427 -1.1222
Cd -0.8299 1.2207 -2.1913
```


Below is an optimized crystal structure of TmCdAs2Rh5, with properties calculated at the PBE level.

Properties
Total energy: -6.216 eV per atom
Formation enthalpy at 0 K: -4.5 eV per formula unit

```
9
Lattice="4.2088 0.0000 0.0000 0.0000 4.2088 0.0000 0.0000 0.0000 8.5274" Properties=species:S:1:pos:R:3 pbc="T T T"
Tm 0.0000 0.0000 0.0000
Cd 0.0000 0.0000 4.2637
As 2.1044 2.1044 1.2453
As 2.1044 2.1044 7.2821
Rh 0.0000 2.1044 2.3515
Rh 2.1044 0.0000 2.3515
Rh 0.0000 2.1044 6.1760
Rh 2.1044 0.0000 6.1760
Rh 2.1044 2.1044 4.2637
```